A plane-wave DFT calculation with PBE was carried out for an optimized crystal structure of LiTl2Mo.

Unit cell a=4.8632 b=4.8632 c=6.0709 alpha=82.56 beta=82.56 gamma=35.91
Last column: magnetic moment on the atom in μB.
Element x y z (fractional)
Mo: 0.2500 0.2500 0.2500  0.82
Tl: 0.5017 0.5017 0.4976  0.00
Tl: 0.9983 0.9983 0.0024  0.00
Li: 0.7500 0.7500 0.7500  -0.01

Summary:
M_tot (Bohr magnetons per cell): 0.943

A plane-wave DFT calculation with PBE was carried out for an optimized crystal structure of LiTl2Mo.

Unit cell a=10.0471 b=10.0471 c=10.0471 alpha=18.03 beta=18.03 gamma=18.03
Element x y z (fractional)
Tl: 0.2444 0.2444 0.2444
Tl: 0.0070 0.0070 0.0070
Mo: 0.7535 0.7535 0.7535
Li: 0.4951 0.4951 0.4951

Summary:
M_tot (Bohr magnetons per cell): 0.000

The calculation returns the following E values, one per record and in order: -3.88 -3.81 eV/atom.
The calculation returns the following N(E_F) values, one per record and in order: 2.56 1.69 states/eV/cell.
The calculation returns the following DFT formation energy values, one per record and in order: 0.49 0.56 eV per atom.